First-principles (PBE) data for crystalline YErLuTl at its relaxed geometry, as listed in the Alexandria database.

abc: 5.425 5.425 5.425
angles: 60.00 60.00 60.00
Fractional coordinates of all 4 atoms:
Er: 0.250 0.250 0.250
Lu: 0.500 0.500 0.500
Tl: 0.000 0.000 0.000
Y: 0.750 0.750 0.750

Calculated values
Space group: No. 216
Crystal system: cubic
Density, kg/m3: 9347
Density of states at the Fermi level, states/eV per atom: 1.486
Energy of formation from the pure elements, meV per atom: -36.6